(1)
Here is an optimized crystal structure of Pr2HoPu from Alexandria. Energies are from PBE-GGA.

* E_form: 0.154 eV per atom
* space group: P4/mmm, No. 123

Structure (POSCAR):
```
Pr2HoPu
1.0
5.090 0.000 0.000
0.000 5.090 0.000
0.000 0.000 5.028
Pr Ho Pu
2 1 1
Cartesian
0.000 2.545 0.000
2.545 0.000 0.000
0.000 0.000 2.514
2.545 2.545 2.514
```

---

(2)
Here is an optimized crystal structure of Th2P3Rh12Au from Alexandria. Energies are from PBE-GGA.

* E_form: -0.296 eV per atom
* space group: R-3m, No. 166

Structure (POSCAR):
```
Th2P3Rh12Au
1.0
4.271 2.466 4.976
-4.271 2.466 4.976
0.000 -4.931 4.976
Th P Rh Au
2 3 12 1
Cartesian
0.000 0.000 1.646
0.000 0.000 13.284
-2.135 -1.233 4.976
-2.135 1.233 9.953
0.000 2.466 4.976
-2.249 -1.298 7.195
0.000 -2.114 4.571
-1.830 1.057 4.571
0.000 -2.596 7.734
-2.249 1.298 7.734
-1.830 -1.057 10.359
1.830 1.057 4.571
2.249 -1.298 7.195
0.000 2.596 7.195
1.830 -1.057 10.359
0.000 2.114 10.359
2.249 1.298 7.734
0.000 0.000 7.465
```

---

(3)
Here is an optimized crystal structure of CsMg2InPt from Alexandria. Energies are from PBE-GGA.

* E_form: -0.297 eV per atom
* space group: P4/mmm, No. 123

Structure (POSCAR):
```
CsMg2InPt
1.0
5.308 0.000 0.000
0.000 5.308 0.000
0.000 0.000 5.272
Cs Mg In Pt
1 2 1 1
Cartesian
0.000 0.000 0.000
0.000 2.654 2.636
2.654 0.000 2.636
2.654 2.654 0.000
2.654 2.654 2.636
```

---

(4)
Here is an optimized crystal structure of KLaSn2Au from Alexandria. Energies are from PBE-GGA.

* E_form: 0.554 eV per atom
* space group: P4/mmm, No. 123

Structure (POSCAR):
```
KLaSn2Au
1.0
5.647 0.000 0.000
0.000 5.647 0.000
0.000 0.000 5.360
K La Sn Au
1 1 2 1
Cartesian
0.000 0.000 0.000
2.824 2.824 2.680
0.000 2.824 0.000
2.824 0.000 0.000
0.000 0.000 2.680
```

---

(5)
Here is an optimized crystal structure of U2SnRu2 from Alexandria. Energies are from PBE-GGA.

* E_form: -0.301 eV per atom
* space group: P4/mbm, No. 127

Structure (POSCAR):
```
U2SnRu2
1.0
7.550 0.000 0.000
0.000 7.550 0.000
0.000 0.000 3.511
U Sn Ru
4 2 4
Cartesian
1.244 2.531 0.000
2.531 6.306 0.000
5.019 1.244 0.000
6.306 5.019 0.000
0.000 0.000 1.755
3.775 3.775 1.755
1.045 4.820 1.755
2.730 1.045 1.755
4.820 6.505 1.755
6.505 2.730 1.755
```

---

(6)
Here is an optimized crystal structure of Ba2UPd12Pt3 from Alexandria. Energies are from PBE-GGA.

* E_form: 0.197 eV per atom
* space group: R-3m, No. 166

Structure (POSCAR):
```
Ba2UPd12Pt3
1.0
4.197 2.423 6.963
-4.197 2.423 6.963
0.000 -4.847 6.963
Ba U Pd Pt
2 1 12 3
Cartesian
0.000 0.000 2.512
0.000 0.000 18.376
0.000 0.000 10.444
0.000 -2.471 6.231
-2.140 1.236 6.231
-2.039 -1.177 9.545
-2.140 -1.236 14.658
0.000 -2.355 11.344
-2.039 1.177 11.344
2.039 -1.177 9.545
0.000 2.355 9.545
2.140 1.236 6.231
2.039 1.177 11.343
2.140 -1.236 14.658
0.000 2.471 14.658
-2.099 -1.212 6.963
-2.099 1.212 13.925
0.000 2.423 6.963
```

---

(7)
Here is an optimized crystal structure of TcMoRh2 from Alexandria. Energies are from PBE-GGA.

* E_form: -0.150 eV per atom
* space group: I4/mmm, No. 139

Structure (POSCAR):
```
TcMoRh2
1.0
3.840 0.000 0.000
0.000 3.840 0.000
0.000 0.000 7.892
Tc Mo Rh
2 2 4
Cartesian
0.000 0.000 0.000
1.920 1.920 3.946
0.000 0.000 3.946
1.920 1.920 0.000
0.000 1.920 1.973
0.000 1.920 5.919
1.920 0.000 1.973
1.920 0.000 5.919
```

---

(8)
Here is an optimized crystal structure of HfOsCl2 from Alexandria. Energies are from PBE-GGA.

* formation energy from raw total energies: 0.661 eV/atom
* space group: Fm-3m, No. 225

Structure (POSCAR):
```
HfOsCl2
1.0
6.378 0.000 0.000
0.000 6.378 0.000
0.000 0.000 6.378
Hf Os Cl
4 4 8
Cartesian
0.000 0.000 0.000
0.000 3.189 3.189
3.189 0.000 3.189
3.189 3.189 0.000
0.000 0.000 3.189
0.000 3.189 0.000
3.189 0.000 0.000
3.189 3.189 3.189
1.594 1.594 1.594
1.594 1.594 4.783
1.594 4.783 1.594
1.594 4.783 4.783
4.783 1.594 1.594
4.783 1.594 4.783
4.783 4.783 1.594
4.783 4.783 4.783
```

---

(9)
Here is an optimized crystal structure of Er3Al2Hg4 from Alexandria. Energies are from PBE-GGA.

* E_form: -0.418 eV per atom
* space group: C2/m, No. 12

Structure (POSCAR):
```
Er3Al2Hg4
1.0
5.458 -2.371 0.000
5.458 2.371 0.000
-4.048 0.000 7.940
Er Al Hg
3 2 4
Cartesian
0.000 0.000 0.000
2.355 0.000 2.590
4.514 0.000 5.350
1.341 0.000 5.723
5.528 0.000 2.217
-0.724 0.000 3.274
-0.538 0.000 7.660
7.407 0.000 0.280
7.592 0.000 4.666
```

---

(10)
Here is an optimized crystal structure of YLu2Ir from Alexandria. Energies are from PBE-GGA.

* E_form: -0.485 eV per atom
* space group: P4/mmm, No. 123

Structure (POSCAR):
```
YLu2Ir
1.0
3.389 0.000 0.000
0.000 3.389 0.000
0.000 0.000 8.865
Y Lu Ir
1 2 1
Cartesian
0.000 0.000 0.000
1.695 1.695 2.805
1.695 1.695 6.060
0.000 0.000 4.433
```

---

(11)
Here is an optimized crystal structure of TaCu3Au from Alexandria. Energies are from PBE-GGA.

* E_form: 1.344 eV per atom
* space group: Pm-3m, No. 221

Structure (POSCAR):
```
TaCu3Au
1.0
4.624 0.000 0.000
0.000 4.624 0.000
0.000 0.000 4.624
Ta Cu Au
1 3 1
Cartesian
0.000 0.000 0.000
0.000 2.312 2.312
2.312 0.000 2.312
2.312 2.312 0.000
2.312 2.312 2.312
```

---

(12)
Here is an optimized crystal structure of LiLa4Au from Alexandria. Energies are from PBE-GGA.

* E_form: 0.316 eV per atom
* space group: F-43m, No. 216

Structure (POSCAR):
```
LiLa4Au
1.0
0.000 4.581 4.581
4.581 0.000 4.581
4.581 4.581 0.000
Li La Au
1 4 1
Cartesian
0.000 0.000 0.000
3.455 3.455 3.455
5.706 5.706 3.455
5.706 3.455 5.706
3.455 5.706 5.706
6.871 6.871 6.871
```

---

(13)
Here is an optimized crystal structure of Pm2Si4PdPt3 from Alexandria. Energies are from PBE-GGA.

* formation energy from raw total energies: -1.091 eV/atom
* space group: P-4m2, No. 115

Structure (POSCAR):
```
Pm2Si4PdPt3
1.0
4.259 0.000 0.000
0.000 4.259 0.000
0.000 0.000 9.847
Pm Si Pd Pt
2 4 1 3
Cartesian
0.000 2.129 2.418
2.129 0.000 7.428
0.000 0.000 0.000
0.000 2.129 6.222
2.129 0.000 3.624
2.129 2.129 0.000
0.000 0.000 4.923
0.000 2.129 8.651
2.129 0.000 1.196
2.129 2.129 4.923
```